# 1
# CaAl2Si (GGA-PBEsol, relaxed)
data_CaAl2Si
_chemical_formula_sum 'Ca1 Al2 Si1'
_cell_length_a 3.3666
_cell_length_b 3.5714
_cell_length_c 6.5562
_cell_angle_alpha 90.00
_cell_angle_beta 90.00
_cell_angle_gamma 90.00
_space_group_name_H-M_alt 'P m m 2'
_space_group_IT_number 25
_space_group_name_Hall 'P 2 -2'
loop_
_atom_site_label
_atom_site_type_symbol
_atom_site_fract_x
_atom_site_fract_y
_atom_site_fract_z
_atom_site_occupancy
Ca1 Ca 0.0000 0.0000 0.0000 1
Al1 Al 0.0000 0.0000 0.4722 1
Al2 Al 0.5000 0.5000 0.6833 1
Si1 Si 0.5000 0.5000 0.2999 1
# M_tot	0.00	Bohr magnetons per cell
# E_form (uncorrected)	-14.78	kJ per mole of atoms
# final energy	-4.169	eV/atom
# Fermi-level density of states	0.44	states/eV per atom


# 2
# CaAl2Si (GGA-PBEsol, relaxed)
data_CaAl2Si
_chemical_formula_sum 'Ca2 Al4 Si2'
_cell_length_a 8.2341
_cell_length_b 3.8953
_cell_length_c 5.5588
_cell_angle_alpha 90.00
_cell_angle_beta 109.90
_cell_angle_gamma 90.00
_space_group_name_H-M_alt 'C 1 m 1'
_space_group_IT_number 8
_space_group_name_Hall 'C -2y'
loop_
_atom_site_label
_atom_site_type_symbol
_atom_site_fract_x
_atom_site_fract_y
_atom_site_fract_z
_atom_site_occupancy
Ca1 Ca 0.0000 0.0000 0.0000 1
Al1 Al 0.0170 0.5000 0.5251 1
Al2 Al 0.2749 0.5000 0.3520 1
Si1 Si 0.2416 0.0000 0.6523 1
# M_tot	0.00	Bohr magnetons per cell
# E_form (uncorrected)	-15.66	kJ per mole of atoms
# final energy	-4.178	eV/atom
# Fermi-level density of states	0.35	states/eV per atom


# 3
# CaAlSi (GGA-PBEsol, relaxed)
data_CaAlSi
_chemical_formula_sum 'Ca1 Al1 Si1'
_cell_length_a 4.1826
_cell_length_b 4.1826
_cell_length_c 4.2936
_cell_angle_alpha 90.00
_cell_angle_beta 90.00
_cell_angle_gamma 120.00
_space_group_name_H-M_alt 'P -6 m 2'
_space_group_IT_number 187
_space_group_name_Hall 'P -6 2'
loop_
_atom_site_label
_atom_site_type_symbol
_atom_site_fract_x
_atom_site_fract_y
_atom_site_fract_z
_atom_site_occupancy
Ca1 Ca 0.0000 0.0000 0.0000 1
Al1 Al 0.6667 0.3333 0.5000 1
Si1 Si 0.3333 0.6667 0.5000 1
# M_tot	0.00	Bohr magnetons per cell
# E_form (uncorrected)	-38.79	kJ per mole of atoms
# final energy	-4.392	eV/atom
# Fermi-level density of states	0.34	states/eV per atom


# 4
# CaAlSi (GGA-PBEsol, relaxed)
data_CaAlSi
_chemical_formula_sum 'Ca4 Al4 Si4'
_cell_length_a 4.1963
_cell_length_b 4.1963
_cell_length_c 16.7837
_cell_angle_alpha 90.00
_cell_angle_beta 90.00
_cell_angle_gamma 120.00
_space_group_name_H-M_alt 'P 63/m m c'
_space_group_IT_number 194
_space_group_name_Hall '-P 6c 2c'
loop_
_atom_site_label
_atom_site_type_symbol
_atom_site_fract_x
_atom_site_fract_y
_atom_site_fract_z
_atom_site_occupancy
Ca1 Ca 0.0000 0.0000 0.0000 1
Ca2 Ca 0.0000 0.0000 0.2500 1
Al1 Al 0.3333 0.6667 0.1429 1
Si1 Si 0.3333 0.6667 0.6157 1
# M_tot	0.00	Bohr magnetons per cell
# E_form (uncorrected)	-39.41	kJ per mole of atoms
# final energy	-4.399	eV/atom
# Fermi-level density of states	0.30	states/eV per atom


# 5
# CaAl2Si (GGA-PBEsol, relaxed)
data_CaAl2Si
_chemical_formula_sum 'Ca1 Al2 Si1'
_cell_length_a 3.0515
_cell_length_b 4.7201
_cell_length_c 5.3904
_cell_angle_alpha 90.00
_cell_angle_beta 90.23
_cell_angle_gamma 90.00
_space_group_name_H-M_alt 'P 1 2/m 1'
_space_group_IT_number 10
_space_group_name_Hall '-P 2y'
loop_
_atom_site_label
_atom_site_type_symbol
_atom_site_fract_x
_atom_site_fract_y
_atom_site_fract_z
_atom_site_occupancy
Ca1 Ca 0.0000 0.0000 0.0000 1
Al1 Al 0.4958 0.5000 0.7454 1
Si1 Si 0.5000 0.0000 0.5000 1
# M_tot	0.00	Bohr magnetons per cell
# E_form (uncorrected)	-6.42	kJ per mole of atoms
# final energy	-4.082	eV/atom
# Fermi-level density of states	0.56	states/eV per atom


# 6
# CaAl2Sn2 (GGA-PBEsol, relaxed)
data_CaAl2Sn2
_chemical_formula_sum 'Ca1 Al2 Sn2'
_cell_length_a 4.4578
_cell_length_b 4.4578
_cell_length_c 7.4133
_cell_angle_alpha 90.00
_cell_angle_beta 90.00
_cell_angle_gamma 120.00
_space_group_name_H-M_alt 'P -3 m 1'
_space_group_IT_number 164
_space_group_name_Hall '-P 3 2"'
loop_
_atom_site_label
_atom_site_type_symbol
_atom_site_fract_x
_atom_site_fract_y
_atom_site_fract_z
_atom_site_occupancy
Ca1 Ca 0.0000 0.0000 0.0000 1
Al1 Al 0.3333 0.6667 0.6289 1
Sn1 Sn 0.3333 0.6667 0.2497 1
# M_tot	0.00	Bohr magnetons per cell
# ΔE_f	-1.1	eV/f.u.
# final energy	-3.996	eV/atom
# Fermi-level density of states	0.18	states/eV per atom